Entry 1:
VASP calculation (SCAN) on a crystal of InPb2 relaxed with PBEsol.

Structure (extended XYZ):
```
6
Lattice="6.5127 -1.7032 0.0000 6.5127 1.7032 0.0000 -1.9783 0.0000 7.6412" Properties=species:S:1:pos:R:3 pbc="T T T"
In -0.2871 0.0000 2.3829
In 11.3341 0.0000 5.2582
Pb 3.2971 0.0000 2.7488
Pb 2.8643 0.0000 7.3852
Pb 8.1827 0.0000 0.2560
Pb 7.7499 0.0000 4.8924
```

Output
Total moment: 0.0000 μB/atom
Total DFT energy (no corrections): -61.60 eV per atom

---

Entry 2:
VASP calculation (SCAN) on a crystal of CrSiAg4 relaxed with PBEsol.

Structure (extended XYZ):
```
6
Lattice="0.0000 3.7479 3.7479 3.7479 0.0000 3.7479 3.7479 3.7479 0.0000" Properties=species:S:1:pos:R:3 pbc="T T T"
Cr 0.0000 0.0000 0.0000
Si 1.8740 1.8740 1.8740
Ag 4.6861 2.8098 2.8098
Ag 2.8098 4.6861 2.8098
Ag 2.8098 2.8098 4.6861
Ag 4.6861 4.6861 4.6861
```

Output
Total moment: 0.6824 μB/atom
Formation energy from raw total energies: 0.435 eV/atom

---

Entry 3:
VASP calculation (SCAN) on a crystal of Li3BiO3 relaxed with PBEsol.

Structure (extended XYZ):
```
56
Lattice="-6.7811 6.7811 3.7134 6.7811 -6.7811 3.7134 6.7811 6.7811 -3.7134" Properties=species:S:1:pos:R:3 pbc="T T T"
Li 7.9912 0.4664 -0.0473
Li 6.2337 -5.7384 3.3554
Li 1.8423 3.0471 -0.9796
Li 10.3427 1.8288 -0.1847
Li 7.2475 5.5710 -1.9040
Li 7.4879 -0.9922 2.5875
Li 6.6624 -2.7848 3.7134
Li -0.4664 1.2101 1.8094
Li 6.0743 0.9922 2.5875
Li 3.0471 4.9388 0.8771
Li -1.8288 3.5616 1.6720
Li 5.7889 6.0743 0.7308
Li 4.9388 3.7340 2.7338
Li 0.9922 0.7068 4.4442
Li -1.0427 6.2337 1.4987
Li 0.1187 9.5659 0.0000
Li 2.7848 -0.1187 5.5701
Li 1.0427 7.3285 1.4987
Li 3.7340 1.8423 4.5905
Li 3.9963 6.8998 1.8567
Li -3.5616 4.9523 3.5287
Li 7.3285 5.7384 3.3554
Li -1.2101 6.3147 3.6661
Li 1.8288 10.0006 1.6720
Bi 10.6154 -1.3315 1.0698
Bi 5.4496 2.9468 -0.7869
Bi 2.9468 1.3315 1.0698
Bi 3.7582 -1.3541 3.2082
Bi 8.1352 3.7582 1.3515
Bi 3.0229 8.1352 -0.5052
Bi 1.3315 3.8343 2.9265
Bi -1.3541 3.0229 5.0649
O 7.3128 -2.8352 1.7694
O 5.6873 6.3258 -2.8153
O 4.0143 -0.5632 1.0080
O 1.0938 0.4553 0.8981
O 9.5479 0.5632 1.0080
O 7.3443 4.0143 -0.8487
O 5.2302 -4.0365 3.6542
O 1.6115 3.7476 0.7613
O 5.7636 -0.8080 3.3447
O 6.2494 2.8352 1.7694
O 3.9459 6.2494 -0.0873
O 1.0175 7.5891 -0.3687
O 2.8352 0.5317 3.6261
O -0.5632 2.7668 2.8647
O 7.5891 5.7636 1.4880
O -2.7446 5.2302 1.7975
O 3.7476 5.1696 2.6180
O -0.8080 1.0175 5.2014
O 1.5509 10.8176 -0.0592
O 0.4553 5.6873 2.7548
O 5.1696 3.0335 4.4747
O 2.7446 8.3320 1.7975
O -0.4553 7.8749 2.7548
O -3.7476 8.3926 2.6180
```

Output
Energy above the most stable polymorph in this dataset: 0.100 eV per atom
Total moment: 0.0000 μB/atom
Formation energy from raw total energies: -1.650 eV/atom

---

Entry 4:
VASP calculation (SCAN) on a crystal of YTe2Pd2 relaxed with PBEsol.

Structure (extended XYZ):
```
5
Lattice="-2.5684 2.5684 4.3162 2.5684 -2.5684 4.3162 2.5684 2.5684 -4.3162" Properties=species:S:1:pos:R:3 pbc="T T T"
Y 0.0000 0.0000 0.0000
Te 2.5684 0.0000 2.1581
Te 0.0000 2.5684 2.1581
Pd 0.0000 0.0000 2.9673
Pd 0.0000 0.0000 5.6651
```

Output
Energy above the most stable polymorph in this dataset: 0.073 eV per atom
Total moment: 0.0000 μB/atom
Formation energy from raw total energies: -0.665 eV/atom

---

Entry 5:
VASP calculation (SCAN) on a crystal of FeB3Cl relaxed with PBEsol.

Structure (extended XYZ):
```
5
Lattice="3.7535 0.0000 0.0000 0.0000 3.7535 0.0000 0.0000 0.0000 3.7535" Properties=species:S:1:pos:R:3 pbc="T T T"
Fe 0.0000 0.0000 0.0000
B 0.0000 1.8768 1.8768
B 1.8768 0.0000 1.8768
B 1.8768 1.8768 0.0000
Cl 1.8768 1.8768 1.8768
```

Output
Total moment: 0.5447 μB/atom
Formation energy from raw total energies: 2.438 eV/atom

---

Entry 6:
VASP calculation (SCAN) on a crystal of BeMoIr2 relaxed with PBEsol.

Structure (extended XYZ):
```
4
Lattice="2.7770 0.0000 0.0000 0.0000 2.7770 0.0000 0.0000 0.0000 6.5504" Properties=species:S:1:pos:R:3 pbc="T T T"
Be 0.0000 0.0000 0.0000
Mo 0.0000 0.0000 3.2752
Ir 1.3885 1.3885 1.4132
Ir 1.3885 1.3885 5.1372
```

Output
Total moment: 0.0000 μB/atom
Total DFT energy (no corrections): -45.98 eV per atom

---

Entry 7:
VASP calculation (SCAN) on a crystal of Li2AlAu relaxed with PBEsol.

Structure (extended XYZ):
```
4
Lattice="3.7814 0.0000 0.0000 0.0000 3.7814 0.0000 0.0000 0.0000 4.1789" Properties=species:S:1:pos:R:3 pbc="T T T"
Li 0.0000 1.8907 0.0000
Li 1.8907 0.0000 0.0000
Al 0.0000 0.0000 2.0895
Au 1.8907 1.8907 2.0895
```

Output
Total moment: 0.0000 μB/atom
Total DFT energy (no corrections): -20.96 eV per atom

---

Entry 8:
VASP calculation (SCAN) on a crystal of CdAsP2F relaxed with PBEsol.

Structure (extended XYZ):
```
5
Lattice="4.4241 0.0000 0.0000 0.0000 4.4241 0.0000 0.0000 0.0000 4.5475" Properties=species:S:1:pos:R:3 pbc="T T T"
Cd 0.0000 0.0000 0.0000
As 2.2121 2.2121 0.0000
P 0.0000 2.2121 2.2737
P 2.2121 0.0000 2.2737
F 0.0000 0.0000 2.2737
```

Output
Total moment: 0.0000 μB/atom
Formation energy from raw total energies: 0.532 eV/atom

---

Entry 9:
VASP calculation (SCAN) on a crystal of RbTaOsBr2 relaxed with PBEsol.

Structure (extended XYZ):
```
5
Lattice="5.4899 0.0000 0.0000 0.0000 5.4899 0.0000 0.0000 0.0000 4.7344" Properties=species:S:1:pos:R:3 pbc="T T T"
Rb 0.0000 0.0000 0.0000
Ta 2.7450 2.7450 0.0000
Os 2.7450 2.7450 2.3672
Br 0.0000 2.7450 2.3672
Br 2.7450 0.0000 2.3672
```

Output
Total moment: 0.3607 μB/atom
Formation energy from raw total energies: 0.619 eV/atom

---

Entry 10:
VASP calculation (SCAN) on a crystal of La2HgP relaxed with PBEsol.

Structure (extended XYZ):
```
4
Lattice="2.0806 1.2012 7.7399 -2.0806 1.2012 7.7399 0.0000 -2.4025 7.7399" Properties=species:S:1:pos:R:3 pbc="T T T"
La 0.0000 0.0000 5.5152
La 0.0000 0.0000 17.7045
Hg 0.0000 0.0000 0.0000
P 0.0000 0.0000 11.6098
```

Output
Energy above the most stable polymorph in this dataset: 0.000 eV per atom
Total moment: 0.0922 μB/atom

---

Entry 11:
VASP calculation (SCAN) on a crystal of Y5Mn3Ni3O18 relaxed with PBEsol.

Structure (extended XYZ):
```
58
Lattice="7.3529 0.0000 0.0000 0.0000 5.3711 0.0000 -7.3019 0.0000 15.4494" Properties=species:S:1:pos:R:3 pbc="T T T"
Y 0.0000 0.9139 0.0000
Y -3.6509 4.4572 7.7247
Y -3.6630 1.6561 10.4653
Y -0.0120 3.7150 2.7406
Y -0.0334 1.0296 5.1846
Y -3.6843 4.3414 12.9093
Y -0.0290 0.9709 10.2155
Y 3.6220 4.4001 2.4908
Y 3.6611 1.7198 5.2809
Y 0.0102 3.6513 13.0056
Mn -1.7532 1.4748 7.7960
Mn 1.8977 3.8962 0.0713
Mn -1.8881 1.3302 13.0277
Mn 1.7629 4.0409 5.3030
Mn 5.4485 1.3593 2.5497
Mn 1.7976 4.0118 10.2744
Ni -5.5017 1.3188 12.9636
Ni -1.8508 4.0523 5.2389
Ni 1.8296 1.3423 2.5933
Ni -1.8213 4.0288 10.3180
Ni 1.7978 1.4418 7.8125
Ni 5.4487 3.9293 0.0878
O -3.7016 1.2850 8.2391
O -0.0507 4.0861 0.5144
O -5.1595 0.1948 11.4102
O -1.5086 5.1763 3.6855
O -1.5255 2.4246 4.1851
O -5.1765 2.9464 11.9097
O -2.1802 0.3312 6.2515
O -5.8312 5.0399 13.9762
O -5.9523 2.4419 14.4392
O -2.3014 2.9292 6.7146
O -0.0365 1.4796 2.1643
O -3.6874 3.8915 9.8890
O 2.0375 0.0814 1.1017
O -1.6135 5.2896 8.8264
O -3.6517 1.1893 13.3312
O -0.0008 4.1818 5.6065
O -1.6125 2.3759 9.4299
O 2.0384 2.9952 1.7052
O -2.1808 0.2098 11.4339
O 1.4701 5.1613 3.7092
O -0.0182 1.5496 7.3472
O -3.6692 3.8215 15.0719
O 1.4675 2.4778 4.2464
O -2.1834 2.8933 11.9711
O 3.6555 1.2320 3.0949
O 0.0045 4.1391 10.8196
O 2.1678 0.3032 6.2575
O -1.4831 5.0679 13.9822
O -1.3646 2.4057 14.4338
O 2.2863 2.9654 6.7091
O 5.2085 0.2257 1.1515
O 1.5575 5.1454 8.8762
O -0.0183 1.4065 12.4380
O 3.6327 3.9646 4.7133
O 1.5981 2.3505 9.4627
O 5.2490 3.0206 1.7380
```

Output
Total moment: 0.4138 μB/atom
Formation energy from raw total energies: -2.652 eV/atom

---

Entry 12:
VASP calculation (SCAN) on a crystal of LiTcP2S relaxed with PBEsol.

Structure (extended XYZ):
```
5
Lattice="4.1239 0.0000 0.0000 0.0000 4.1239 0.0000 0.0000 0.0000 4.2604" Properties=species:S:1:pos:R:3 pbc="T T T"
Li 0.0000 0.0000 0.0000
Tc 2.0619 2.0619 2.1302
P 0.0000 2.0619 0.0000
P 2.0619 0.0000 0.0000
S 0.0000 0.0000 2.1302
```

Output
Total moment: 0.5021 μB/atom
Formation energy from raw total energies: 1.061 eV/atom